Density functional theory data (meta-GGA SCAN) for AgPt2Cl at its PBEsol-relaxed geometry.

Results
ΔE to the lowest computed polymorph   307 meV/atom
ΔE_f (raw)   0.584 eV/atom
Magnetic moment   0.0 μB/cell
Total energy   -3.2596 Ry/atom

Cell: 2.7887 4.9370 4.9370 Å, 110.49 90.00 90.00°
Sites, in units of the cell vectors:
Ag 0.5000 0.0000 0.0000
Pt 0.0000 0.5000 0.0000
Pt 0.0000 0.0000 0.5000
Cl 0.5000 0.5000 0.5000